DFT (PBE) results for crystalline Tm2BeZn at its relaxed geometry.

Computed properties:
The size of the total moment is 0.00 μB per formula unit. Its formation energy is -0.1387 eV/atom. Its energy above the most stable polymorph in this dataset is 0 meV per atom. As for the space-group type: No. 123.

a = 3.4045 Å, b = 3.4045 Å, c = 7.0048 Å
α = 90.00°, β = 90.00°, γ = 90.00°
With the nearest neighbours (Å) after each atom.
Element x y z (fractional)
1 Tm 0.0000 0.0000 0.2344  4 Be 2.91, 4 Zn 3.04
2 Tm 0.0000 0.0000 0.7657  4 Be 2.91, 4 Zn 3.04
3 Be 0.5000 0.5000 0.0000  8 Tm 2.91
4 Zn 0.5000 0.5000 0.5000  8 Tm 3.04, 4 Zn 3.40


DFT (PBE) results for crystalline BaAg9Pd3 at its relaxed geometry.

Computed properties:
The size of the total moment is 0.00 μB per formula unit. Its formation energy is -0.1253 eV/atom. As for the space-group type: No. 12.

a = 7.3297 Å, b = 7.3297 Å, c = 7.2676 Å
α = 98.10°, β = 98.10°, γ = 135.20°
With the nearest neighbours (Å) after each atom.
Element x y z (fractional)
1 Ba 0.0000 0.0000 0.0000  14 Ag 3.37-3.67, 6 Pd 3.63-3.66
2 Ag 0.0170 0.6620 0.6503  6 Ag 2.83-3.10, 3 Pd 2.89-2.94
3 Ag 0.2740 0.5017 0.7746  3 Pd 2.76-2.80, 6 Ag 2.77-3.09
4 Ag 0.3380 0.9830 0.3497  6 Ag 2.83-3.10, 3 Pd 2.89-2.94
5 Ag 0.4983 0.7260 0.2254  3 Pd 2.76-2.80, 6 Ag 2.77-3.09
6 Ag 0.5000 0.5000 0.5000  8 Ag 2.77-3.01, 2 Pd 2.79
7 Ag 0.5017 0.2740 0.7746  3 Pd 2.76-2.80, 6 Ag 2.77-3.09
8 Ag 0.6620 0.0170 0.6503  6 Ag 2.83-3.10, 3 Pd 2.89-2.94
9 Ag 0.7260 0.4983 0.2254  3 Pd 2.76-2.80, 6 Ag 2.77-3.09
10 Ag 0.9830 0.3380 0.3497  6 Ag 2.83-3.10, 3 Pd 2.89-2.94
11 Pd 0.0000 0.0000 0.5000  10 Ag 2.79-2.92
12 Pd 0.0000 0.5000 0.0000  8 Ag 2.76-2.94, 2 Pd 2.79
13 Pd 0.5000 0.0000 0.0000  8 Ag 2.76-2.94, 2 Pd 2.79


DFT (PBE) results for crystalline CoI3 at its relaxed geometry.

Computed properties:
The size of the total moment is 1.56 μB per formula unit. As for the space-group type: No. 167. Its uncorrected formation energy is 0.07 eV/atom.

a = 7.1417 Å, b = 7.1417 Å, c = 7.1417 Å
α = 56.63°, β = 56.63°, γ = 56.63°
With the nearest neighbours (Å) after each atom.
Element x y z (fractional)
1 Co 0.0000 0.0000 0.0000  6 I 2.67
2 Co 0.5000 0.5000 0.5000  6 I 2.67
3 I 0.0977 0.7500 0.4023  2 Co 2.67
4 I 0.2500 0.5977 0.9023  2 Co 2.67
5 I 0.4023 0.0977 0.7500  2 Co 2.67
6 I 0.5977 0.9023 0.2500  2 Co 2.67
7 I 0.7500 0.4023 0.0977  2 Co 2.67
8 I 0.9023 0.2500 0.5977  2 Co 2.67


DFT (PBE) results for crystalline AcZrGe2 at its relaxed geometry.

Computed properties:
The size of the total moment is 0.00 μB per formula unit. Its formation energy is -0.6059 eV/atom. As for the space-group type: No. 166.

a = 7.4842 Å, b = 7.4842 Å, c = 7.4842 Å
α = 32.25°, β = 32.25°, γ = 32.25°
With the nearest neighbours (Å) after each atom.
Element x y z (fractional)
1 Ac 0.0000 0.0000 0.0000  6 Ge 3.19
2 Zr 0.5000 0.5000 0.5000  6 Ge 2.80
3 Ge 0.2345 0.2345 0.2345  3 Zr 2.80
4 Ge 0.7655 0.7655 0.7655  3 Zr 2.80


DFT (PBE) results for crystalline Na2DyAlS4 at its relaxed geometry.

Computed properties:
The size of the total moment is 0.00 μB per formula unit. As for the space-group type: No. 74. Its uncorrected formation energy is -1.43 eV/atom.

a = 7.7517 Å, b = 7.7517 Å, c = 7.7517 Å
α = 122.09°, β = 118.23°, γ = 89.75°
With the nearest neighbours (Å) after each atom.
Element x y z (fractional)
1 Na 0.0000 0.0000 0.0000  6 S 2.77-2.78
2 Na 0.5000 0.0000 0.0000  6 S 2.94-2.98
3 Na 0.5000 0.0000 0.5000  6 S 2.77-2.78
4 Na 0.5000 0.5000 0.5000  6 S 2.94-2.98
5 Dy 0.0000 0.5000 0.5000  6 S 2.72-2.75
6 Dy 0.5000 0.5000 0.0000  6 S 2.72-2.75
7 Al 0.0000 0.0000 0.5000  6 S 2.51-2.55
8 Al 0.0000 0.5000 0.0000  6 S 2.51-2.55
9 S 0.2083 0.7484 0.4599  2 Al 2.51, 1 Dy 2.75, 1 Na 2.78
10 S 0.2115 0.2516 0.9599  2 Al 2.51, 1 Dy 2.75, 1 Na 2.78
11 S 0.2324 0.2373 0.5049  1 Al 2.55, 2 Dy 2.72, 2 Na 2.77
12 S 0.2324 0.7275 0.9951  1 Al 2.55, 2 Dy 2.72, 2 Na 2.77
13 S 0.7676 0.2725 0.0049  1 Al 2.55, 2 Dy 2.72, 2 Na 2.77
14 S 0.7676 0.7627 0.4951  1 Al 2.55, 2 Dy 2.72, 2 Na 2.77
15 S 0.7885 0.7484 0.0401  2 Al 2.51, 1 Dy 2.75, 1 Na 2.78
16 S 0.7917 0.2516 0.5401  2 Al 2.51, 1 Dy 2.75, 1 Na 2.78


DFT (PBE) results for crystalline La3Ga6Cu5 at its relaxed geometry.

Computed properties:
The size of the total moment is 0.00 μB per formula unit. Its formation energy is -0.4112 eV/atom. As for the space-group type: No. 59.

a = 4.4511 Å, b = 13.6788 Å, c = 8.7017 Å
α = 90.00°, β = 90.00°, γ = 90.00°
With the nearest neighbours (Å) after each atom.
Element x y z (fractional)
1 La 0.2500 0.0396 0.2437  8 Ga 3.07-3.34, 6 Cu 3.09-3.33
2 La 0.2500 0.4604 0.2437  8 Ga 3.07-3.34, 6 Cu 3.09-3.33
3 La 0.2500 0.7500 0.2530  6 Cu 3.05-3.28, 6 Ga 3.17-3.30
4 La 0.7500 0.2500 0.7470  6 Cu 3.05-3.28, 6 Ga 3.17-3.30
5 La 0.7500 0.5396 0.7563  8 Ga 3.07-3.34, 6 Cu 3.09-3.33
6 La 0.7500 0.9604 0.7563  8 Ga 3.07-3.34, 6 Cu 3.09-3.33
7 Ga 0.2500 0.0983 0.8939  3 Cu 2.48-2.58, 1 Ga 2.66
8 Ga 0.2500 0.2500 0.0860  2 Ga 2.66, 6 Cu 2.73-2.83
9 Ga 0.2500 0.2500 0.4389  4 Cu 2.56-2.68
10 Ga 0.2500 0.4017 0.8939  3 Cu 2.48-2.58, 1 Ga 2.66
11 Ga 0.2500 0.6018 0.5330  4 Cu 2.55-2.81
12 Ga 0.2500 0.8982 0.5330  4 Cu 2.55-2.81
13 Ga 0.7500 0.1018 0.4670  4 Cu 2.55-2.81
14 Ga 0.7500 0.3982 0.4670  4 Cu 2.55-2.81
15 Ga 0.7500 0.5983 0.1061  3 Cu 2.48-2.58, 1 Ga 2.66
16 Ga 0.7500 0.7500 0.5611  4 Cu 2.56-2.68
17 Ga 0.7500 0.7500 0.9140  2 Ga 2.66, 6 Cu 2.73-2.83
18 Ga 0.7500 0.9017 0.1061  3 Cu 2.48-2.58, 1 Ga 2.66
19 Cu 0.2500 0.0976 0.6090  4 Ga 2.48-2.56
20 Cu 0.2500 0.4024 0.6090  4 Ga 2.48-2.56
21 Cu 0.2500 0.6258 0.9623  4 Ga 2.58-2.83, 1 Cu 2.63
22 Cu 0.2500 0.7500 0.7319  2 Cu 2.63, 6 Ga 2.67-2.73
23 Cu 0.2500 0.8742 0.9623  4 Ga 2.58-2.83, 1 Cu 2.63
24 Cu 0.7500 0.1258 0.0377  4 Ga 2.58-2.83, 1 Cu 2.63
25 Cu 0.7500 0.2500 0.2681  2 Cu 2.63, 6 Ga 2.67-2.73
26 Cu 0.7500 0.3742 0.0377  4 Ga 2.58-2.83, 1 Cu 2.63
27 Cu 0.7500 0.5976 0.3910  4 Ga 2.48-2.56
28 Cu 0.7500 0.9024 0.3910  4 Ga 2.48-2.56


DFT (PBE) results for crystalline KNa2NbSe4 at its relaxed geometry.

Computed properties:
The size of the total moment is 0.00 μB per formula unit. As for the space-group type: No. 74. Its uncorrected formation energy is -0.87 eV/atom.

a = 8.4908 Å, b = 8.4908 Å, c = 8.4908 Å
α = 126.43°, β = 116.00°, γ = 88.16°
With the nearest neighbours (Å) after each atom.
Element x y z (fractional)
1 K 0.0000 0.0000 0.0000  6 Se 3.10
2 K 0.5000 0.0000 0.5000  6 Se 3.10
3 Na 0.0000 0.5000 0.5000  6 Se 2.89-3.04
4 Na 0.5000 0.0000 0.0000  6 Se 3.24-3.53
5 Na 0.5000 0.5000 0.0000  6 Se 2.89-3.04
6 Na 0.5000 0.5000 0.5000  6 Se 3.24-3.53
7 Nb 0.0000 0.0000 0.5000  6 Se 2.58-2.69
8 Nb 0.0000 0.5000 0.0000  6 Se 2.58-2.69
9 Se 0.2079 0.7478 0.4601  2 Nb 2.69
10 Se 0.2108 0.2329 0.5221  1 Nb 2.58
11 Se 0.2108 0.6887 0.9779  1 Nb 2.58
12 Se 0.2122 0.2522 0.9601  2 Nb 2.69
13 Se 0.7878 0.7478 0.0399  2 Nb 2.69
14 Se 0.7892 0.3113 0.0221  1 Nb 2.58
15 Se 0.7892 0.7671 0.4779  1 Nb 2.58
16 Se 0.7921 0.2522 0.5399  2 Nb 2.69


DFT (PBE) results for crystalline Tb7PmTh2 at its relaxed geometry.

Computed properties:
The size of the total moment is 0.00 μB per formula unit. Its formation energy is 0.7562 eV/atom. Its energy above the most stable polymorph in this dataset is 333 meV per atom. As for the space-group type: No. 65.

a = 9.4045 Å, b = 9.4045 Å, c = 5.5416 Å
α = 90.00°, β = 90.00°, γ = 124.69°
With the nearest neighbours (Å) after each atom.
Element x y z (fractional)
1 Tb 0.0000 0.0000 0.0000  4 Tb 3.38, 2 Th 3.40
2 Tb 0.2116 0.4353 0.0000  2 Tb 3.08-3.38, 2 Th 3.22-3.43
3 Tb 0.2884 0.7116 0.5000  2 Th 3.11
4 Tb 0.4353 0.2116 0.0000  2 Tb 3.08-3.38, 2 Th 3.22-3.43
5 Tb 0.5647 0.7884 0.0000  2 Tb 3.08-3.38, 2 Th 3.22-3.43
6 Tb 0.7116 0.2884 0.5000  2 Th 3.11
7 Tb 0.7884 0.5647 0.0000  2 Tb 3.08-3.38, 2 Th 3.22-3.43
8 Pm 0.5000 0.5000 0.5000  10 Tb 3.52-3.68
9 Th 0.2043 0.7957 0.0000  7 Tb 3.11-3.43
10 Th 0.7957 0.2043 0.0000  7 Tb 3.11-3.43